First-principles (GGA+U) data for crystalline BaMnRu2F at its relaxed geometry, as listed in Alexandria.

Geometry as POSCAR:
```
BaMnRu2F
1.0
5.117 0.000 0.000
0.000 5.117 0.000
0.000 0.000 6.705
Ba Mn Ru F
1 1 2 1
Direct
0.000 0.000 0.000 Ba
0.000 0.000 0.500 Mn
0.000 0.500 0.000 Ru
0.500 0.000 0.000 Ru
0.500 0.500 0.500 F
```

## Properties
Calculated density (g/cm³): 3.91
Raw total energy (hartree per atom): -0.146